[1]
## FeOsCl2 (GGA-PBE)

Data for FeOsCl2 after structural relaxation.

a = 7.5206 Å, b = 7.5206 Å, c = 7.5206 Å
α = 23.63°, β = 23.63°, γ = 23.63°
Element x y z (fractional)
Cl  0.8964  0.8964  0.8964
Cl  0.1036  0.1036  0.1036
Fe  0.5000  0.5000  0.5000
Os  0.0000  0.0000  0.0000

As for the uncorrected formation energy: 0.62 eV/atom. As for the density of states at the Fermi level: 0.74 states/eV per atom. For the distance to the lowest polymorph of the same formula, the calculation gives 11.78 kcal/mol of atoms. Its total magnetization is 0.0 μB/f.u. Its space group is R-3m, No. 166.


[2]
## FeOs2Cl (GGA-PBE)

Data for FeOs2Cl after structural relaxation.

a = 5.2066 Å, b = 5.2066 Å, c = 5.2066 Å
α = 148.72°, β = 129.25°, γ = 60.83°
Last column: magnetic moment on the atom in μB.
Element x y z (fractional)
Fe  0.2670  0.7670  0.5000  2.64
Os  0.7414  0.2414  0.5000  0.10
Os  0.9892  0.9892  0.0000  0.12
Cl  0.5024  0.5024  0.0000  0.03

As for the uncorrected formation energy: 1.00 eV/atom. As for the density of states at the Fermi level: 0.94 states/eV per atom. For the distance to the lowest polymorph of the same formula, the calculation gives 13.63 kcal/mol of atoms. Its total magnetization is 2.9 μB/f.u. Its space group is Imm2, No. 44.


[3]
## FeOsCl2 (GGA-PBE)

Data for FeOsCl2 after structural relaxation.

a = 2.9461 Å, b = 2.9996 Å, c = 8.4863 Å
α = 89.84°, β = 90.00°, γ = 90.00°
Last column: magnetic moment on the atom in μB.
Element x y z (fractional)
Cl  0.5000  0.3777  0.3336  0.04
Cl  0.0000  0.8725  0.9264  -0.08
Os  0.5000  0.8742  0.7044  -0.24
Fe  0.0000  0.3756  0.5356  1.98

As for the uncorrected formation energy: 0.11 eV/atom. As for the density of states at the Fermi level: 0.80 states/eV per atom. For the distance to the lowest polymorph of the same formula, the calculation gives 0.00 kcal/mol of atoms. Its total magnetization is 1.7 μB/f.u. Its space group is Pm, No. 6.


[4]
## Fe2OsCl (GGA-PBE)

Data for Fe2OsCl after structural relaxation.

a = 9.4115 Å, b = 9.4115 Å, c = 9.4115 Å
α = 17.18°, β = 17.18°, γ = 17.18°
Last column: magnetic moment on the atom in μB.
Element x y z (fractional)
Cl  0.7240  0.7240  0.7240  0.25
Fe  0.2581  0.2581  0.2581  2.67
Fe  0.9964  0.9964  0.9964  2.97
Os  0.5215  0.5215  0.5215  0.11

As for the uncorrected formation energy: 0.38 eV/atom. As for the density of states at the Fermi level: 0.99 states/eV per atom. For the distance to the lowest polymorph of the same formula, the calculation gives 1.95 kcal/mol of atoms. Its total magnetization is 6.1 μB/f.u. Its space group is R3m, No. 160.


[5]
## FeOsCl2 (GGA-PBE)

Data for FeOsCl2 after structural relaxation.

a = 3.2659 Å, b = 3.2621 Å, c = 7.4506 Å
α = 90.00°, β = 90.00°, γ = 90.00°
Last column: magnetic moment on the atom in μB.
Element x y z (fractional)
Cl  0.5000  0.5000  0.3551  0.13
Cl  0.0000  0.0000  0.9118  0.07
Fe  0.0000  0.0000  0.5470  2.99
Os  0.5000  0.5000  0.6861  1.18

As for the uncorrected formation energy: 0.49 eV/atom. As for the density of states at the Fermi level: 0.65 states/eV per atom. For the distance to the lowest polymorph of the same formula, the calculation gives 8.92 kcal/mol of atoms. Its total magnetization is 4.6 μB/f.u. Its space group is P4mm, No. 99.


[6]
## FeOsCl2 (GGA-PBE)

Data for FeOsCl2 after structural relaxation.

a = 4.2766 Å, b = 4.2766 Å, c = 4.2766 Å
α = 60.00°, β = 60.00°, γ = 60.00°
Element x y z (fractional)
Os  0.5000  0.5000  0.5000
Cl  0.7500  0.7500  0.7500
Cl  0.2500  0.2500  0.2500
Fe  0.0000  0.0000  0.0000

As for the uncorrected formation energy: 1.39 eV/atom. As for the density of states at the Fermi level: 1.60 states/eV per atom. For the distance to the lowest polymorph of the same formula, the calculation gives 29.69 kcal/mol of atoms. Its total magnetization is 0.0 μB/f.u. Its space group is Fm-3m, No. 225.